Record 1
Computed, not measured: crystalline Ni4HgBr at its relaxed geometry at the GGA-PBE level of DFT.

Calculated values
N(E_F) = 11.322 states/eV/cell
raw total energy = -21.82 eV for the cell shown
SG = F-43m, No. 216

a b c (Å): 5.000 5.000 5.000
angles (deg): 60.00 60.00 60.00
Site moments in Bohr magnetons follow the coordinates.
Element x y z (fractional)
Ni1 0.625 0.625 0.124  0.55
Ni2 0.625 0.124 0.625  0.55
Ni3 0.625 0.625 0.625  0.55
Ni4 0.124 0.625 0.625  0.55
Hg1 0.000 0.000 0.000  -0.01
Br1 0.250 0.250 0.250  0.10

---

Record 2
Computed, not measured: crystalline NiHgBr4 at its relaxed geometry at the GGA-PBE level of DFT.

Calculated values
offset from the most stable computed form = 0 meV/atom
raw total energy = -14.85 eV for the cell shown
SG = C2/m, No. 12

a b c (Å): 3.867 7.224 6.942
angles (deg): 100.38 90.00 105.53
Site moments in Bohr magnetons follow the coordinates.
Element x y z (fractional)
Ni1 0.500 0.000 0.500  1.35
Hg1 0.000 0.000 0.000  -0.01
Br1 0.389 0.777 0.163  0.07
Br2 0.104 0.209 0.397  0.16
Br3 0.611 0.223 0.837  0.07
Br4 0.896 0.791 0.603  0.16

---

Record 3
Computed, not measured: crystalline Ni2HgBr4 at its relaxed geometry at the GGA-PBE level of DFT.

Calculated values
N(E_F) = 5.402 states/eV/cell
raw total energy = -17.52 eV for the cell shown
SG = I4/mmm, No. 139

a b c (Å): 5.542 5.542 7.578
angles (deg): 68.55 68.55 90.00
Site moments in Bohr magnetons follow the coordinates.
Element x y z (fractional)
Ni1 0.585 0.585 0.831  1.07
Ni2 0.415 0.415 0.169  1.07
Hg1 0.000 0.000 0.000  -0.01
Br1 0.759 0.759 0.483  0.14
Br2 0.241 0.241 0.517  0.14
Br3 0.000 0.500 0.000  0.03
Br4 0.500 0.000 0.000  0.03

---

Record 4
Computed, not measured: crystalline NiHgBr3 at its relaxed geometry at the GGA-PBE level of DFT.

Calculated values
N(E_F) = 3.749 states/eV/cell
offset from the most stable computed form = 0 meV/atom
raw total energy = -11.47 eV for the cell shown
SG = Pm-3m, No. 221

a b c (Å): 4.986 4.986 4.986
angles (deg): 90.00 90.00 90.00
Element x y z (fractional)
Ni1 0.000 0.000 0.000
Hg1 0.500 0.500 0.500
Br1 0.000 0.500 0.000
Br2 0.000 0.000 0.500
Br3 0.500 0.000 0.000

---

Computed formation energy from raw total energies (eV/atom) in order:
0.546, -0.346, 0.148, -0.073